Record 1
First-principles (PBE-GGA) data for a geometry-optimized Ba2CrSe structure, as listed in Alexandria via LeMat-Bulk.

## Properties
- Energy relative to the elements, uncorrected: -0.25 eV/atom
- Fermi-level density of states: 6.48 states/eV per cell

a b c (Å): 8.859 8.859 9.098
angles (deg): 90.00 90.00 90.00
Atoms (fractional coordinates):
1 Ba 0.217 0.250 0.125
2 Ba 0.250 0.717 0.375
3 Ba 0.250 0.783 0.875
4 Ba 0.283 0.250 0.625
5 Ba 0.717 0.750 0.625
6 Ba 0.750 0.217 0.875
7 Ba 0.750 0.283 0.375
8 Ba 0.783 0.750 0.125
9 Cr 0.000 0.000 0.500
10 Cr 0.000 0.500 0.750
11 Cr 0.500 0.000 0.250
12 Cr 0.500 0.500 0.000
13 Se 0.000 0.000 0.000
14 Se 0.000 0.500 0.250
15 Se 0.500 0.000 0.750
16 Se 0.500 0.500 0.500

***

Record 2
First-principles (PBE-GGA) data for a geometry-optimized BeSb2W structure, as listed in Alexandria via LeMat-Bulk.

## Properties
- Energy relative to the elements, uncorrected: 0.57 eV/atom
- Fermi-level density of states: 7.04 states/eV per cell

a b c (Å): 3.459 3.459 21.913
angles (deg): 90.00 90.00 120.00
Atoms (fractional coordinates):
1 Be 0.000 0.000 0.000
2 Be 0.333 0.667 0.667
3 Be 0.667 0.333 0.333
4 Sb 0.000 0.000 0.256
5 Sb 0.000 0.000 0.744
6 Sb 0.333 0.667 0.411
7 Sb 0.333 0.667 0.922
8 Sb 0.667 0.333 0.078
9 Sb 0.667 0.333 0.589
10 W 0.000 0.000 0.500
11 W 0.333 0.667 0.167
12 W 0.667 0.333 0.833

***

Record 3
First-principles (PBE-GGA) data for a geometry-optimized HfAl2Ir structure, as listed in Alexandria via LeMat-Bulk.

## Properties
- Energy relative to the elements: -2.18 eV per formula unit
- Fermi-level density of states: 8.37 states/eV per cell

a b c (Å): 4.197 4.197 13.318
angles (deg): 90.00 90.00 120.00
Atoms (fractional coordinates):
1 Hf 0.000 0.000 0.000
2 Hf 0.333 0.667 0.667
3 Hf 0.667 0.333 0.333
4 Al 0.000 0.000 0.219
5 Al 0.000 0.000 0.781
6 Al 0.333 0.667 0.448
7 Al 0.333 0.667 0.886
8 Al 0.667 0.333 0.114
9 Al 0.667 0.333 0.552
10 Ir 0.000 0.000 0.500
11 Ir 0.333 0.667 0.167
12 Ir 0.667 0.333 0.833

***

Record 4
First-principles (PBE-GGA) data for a geometry-optimized La2Dy7 structure, as listed in Alexandria via LeMat-Bulk.

## Properties
- Energy relative to the elements: 0.21 eV per formula unit
- Fermi-level density of states: 13.14 states/eV per cell

a b c (Å): 6.224 6.224 8.776
angles (deg): 90.00 90.00 120.00
Atoms (fractional coordinates):
1 La 0.333 0.667 0.000
2 La 0.667 0.333 0.000
3 Dy 0.000 0.000 0.000
4 Dy 0.000 0.332 0.662
5 Dy 0.000 0.668 0.338
6 Dy 0.332 0.000 0.662
7 Dy 0.332 0.332 0.338
8 Dy 0.668 0.000 0.338
9 Dy 0.668 0.668 0.662

***

Record 5
First-principles (PBE-GGA) data for a geometry-optimized Cd5Ga2Au5 structure, as listed in Alexandria via LeMat-Bulk.

## Properties
- Energy relative to the elements: -1.79 eV per formula unit
- Fermi-level density of states: 1.84 states/eV per cell

a b c (Å): 4.676 4.676 12.790
angles (deg): 99.24 99.24 59.89
Atoms (fractional coordinates):
1 Cd 0.000 0.000 0.000
2 Cd 0.192 0.192 0.577
3 Cd 0.283 0.283 0.835
4 Cd 0.717 0.717 0.165
5 Cd 0.808 0.808 0.423
6 Ga 0.425 0.425 0.283
7 Ga 0.575 0.575 0.717
8 Au 0.098 0.098 0.300
9 Au 0.354 0.354 0.071
10 Au 0.500 0.500 0.500
11 Au 0.646 0.646 0.929
12 Au 0.902 0.902 0.700

***

Record 6
First-principles (PBE-GGA) data for a geometry-optimized ZnAsRu2 structure, as listed in Alexandria via LeMat-Bulk.

## Properties
- Energy relative to the elements: 0.33 eV per formula unit
- Fermi-level density of states: 3.10 states/eV per cell
- Relative energy among the computed polymorphs: 182 meV per atom

a b c (Å): 2.886 3.766 5.333
angles (deg): 90.00 90.00 90.00
Atoms (fractional coordinates):
1 Zn 0.000 0.000 0.000
2 As 0.500 0.500 0.302
3 Ru 0.000 0.000 0.507
4 Ru 0.500 0.500 0.794

***

Record 7
First-principles (PBE-GGA) data for a geometry-optimized TaSiSb2 structure, as listed in Alexandria via LeMat-Bulk.

## Properties
- Energy relative to the elements, uncorrected: 0.39 eV/atom
- Fermi-level density of states: 4.08 states/eV per cell

a b c (Å): 3.691 4.910 8.897
angles (deg): 90.00 90.00 90.00
Atoms (fractional coordinates):
1 Ta 0.000 0.000 0.000
2 Ta 0.500 0.500 0.500
3 Si 0.000 0.000 0.500
4 Si 0.500 0.500 0.000
5 Sb 0.000 0.500 0.220
6 Sb 0.000 0.500 0.780
7 Sb 0.500 0.000 0.280
8 Sb 0.500 0.000 0.720

***

Record 8
First-principles (PBE-GGA) data for a geometry-optimized AsSeBr2N structure, as listed in Alexandria via LeMat-Bulk.

## Properties
- Energy relative to the elements, uncorrected: 1.11 eV/atom
- Fermi-level density of states: 2.20 states/eV per cell
- Relative energy among the computed polymorphs: 6 meV per atom

a b c (Å): 4.492 4.492 4.854
angles (deg): 90.00 90.00 90.00
Atoms (fractional coordinates):
1 As 0.000 0.000 0.000
2 Se 0.500 0.500 0.000
3 Br 0.000 0.500 0.500
4 Br 0.500 0.000 0.500
5 N 0.500 0.500 0.500

***

Record 9
First-principles (PBE-GGA) data for a geometry-optimized Tl3GaHg3 structure, as listed in Alexandria via LeMat-Bulk.

## Properties
- Energy relative to the elements: 0.20 eV per formula unit
- Fermi-level density of states: 4.22 states/eV per cell
- Relative energy among the computed polymorphs: 0 meV per atom

a b c (Å): 6.845 6.845 8.611
angles (deg): 93.95 93.95 90.18
Atoms (fractional coordinates):
1 Tl 0.168 0.832 0.000
2 Tl 0.310 0.690 0.500
3 Tl 0.350 0.350 0.080
4 Tl 0.650 0.650 0.920
5 Tl 0.690 0.310 0.500
6 Tl 0.832 0.168 0.000
7 Ga 0.069 0.069 0.676
8 Ga 0.931 0.931 0.324
9 Hg 0.075 0.475 0.760
10 Hg 0.222 0.222 0.404
11 Hg 0.475 0.075 0.760
12 Hg 0.525 0.925 0.240
13 Hg 0.778 0.778 0.596
14 Hg 0.925 0.525 0.240

***

Record 10
First-principles (PBE-GGA) data for a geometry-optimized KNb2F structure, as listed in Alexandria via LeMat-Bulk.

## Properties
- Energy relative to the elements, uncorrected: 1.58 eV/atom
- Fermi-level density of states: 36.00 states/eV per cell
- Relative energy among the computed polymorphs: 931 meV per atom

a b c (Å): 6.794 6.794 6.794
angles (deg): 90.00 90.00 90.00
Atoms (fractional coordinates):
1 K 0.000 0.000 0.000
2 K 0.000 0.500 0.500
3 K 0.500 0.000 0.500
4 K 0.500 0.500 0.000
5 Nb 0.250 0.250 0.250
6 Nb 0.250 0.250 0.750
7 Nb 0.250 0.750 0.250
8 Nb 0.250 0.750 0.750
9 Nb 0.750 0.250 0.250
10 Nb 0.750 0.250 0.750
11 Nb 0.750 0.750 0.250
12 Nb 0.750 0.750 0.750
13 F 0.000 0.000 0.500
14 F 0.000 0.500 0.000
15 F 0.500 0.000 0.000
16 F 0.500 0.500 0.500

***

Record 11
First-principles (PBE-GGA) data for a geometry-optimized Ca4Th3PaAs8 structure, as listed in Alexandria via LeMat-Bulk.

## Properties
- Energy relative to the elements: -20.86 eV per formula unit
- Fermi-level density of states: 6.11 states/eV per cell

a b c (Å): 8.453 8.453 8.453
angles (deg): 60.61 60.61 60.61
Atoms (fractional coordinates):
1 Ca 0.000 0.000 0.000
2 Ca 0.000 0.500 0.500
3 Ca 0.500 0.000 0.500
4 Ca 0.500 0.500 0.000
5 Th 0.000 0.000 0.500
6 Th 0.000 0.500 0.000
7 Th 0.500 0.000 0.000
8 Pa 0.500 0.500 0.500
9 As 0.248 0.248 0.248
10 As 0.256 0.741 0.741
11 As 0.259 0.259 0.744
12 As 0.259 0.744 0.259
13 As 0.741 0.256 0.741
14 As 0.741 0.741 0.256
15 As 0.744 0.259 0.259
16 As 0.752 0.752 0.752

***

Record 12
First-principles (PBE-GGA) data for a geometry-optimized Pm4PtO5 structure, as listed in Alexandria via LeMat-Bulk.

## Properties
- Energy relative to the elements, uncorrected: -2.65 eV/atom
- Fermi-level density of states: 0.00 states/eV per cell

a b c (Å): 7.833 7.833 7.833
angles (deg): 152.12 127.08 60.86
Atoms (fractional coordinates):
1 Pm 0.221 0.221 0.000
2 Pm 0.284 0.500 0.784
3 Pm 0.716 0.500 0.216
4 Pm 0.779 0.779 0.000
5 Pt 0.000 0.000 0.000
6 O 0.052 0.331 0.721
7 O 0.390 0.669 0.721
8 O 0.500 0.000 0.500
9 O 0.610 0.331 0.279
10 O 0.948 0.669 0.279

***

Record 13
First-principles (PBE-GGA) data for a geometry-optimized Li4PmNp3Se8 structure, as listed in Alexandria via LeMat-Bulk.

## Properties
- Energy relative to the elements, uncorrected: -1.31 eV/atom
- Fermi-level density of states: 29.75 states/eV per cell

a b c (Å): 8.045 8.045 8.045
angles (deg): 61.66 61.66 61.66
Atoms (fractional coordinates):
1 Li 0.000 0.000 0.000
2 Li 0.000 0.500 0.500
3 Li 0.500 0.000 0.500
4 Li 0.500 0.500 0.000
5 Pm 0.500 0.500 0.500
6 Np 0.000 0.000 0.500
7 Np 0.000 0.500 0.000
8 Np 0.500 0.000 0.000
9 Se 0.245 0.245 0.751
10 Se 0.245 0.751 0.245
11 Se 0.249 0.755 0.755
12 Se 0.251 0.251 0.251
13 Se 0.749 0.749 0.749
14 Se 0.751 0.245 0.245
15 Se 0.755 0.249 0.755
16 Se 0.755 0.755 0.249

***

Record 14
First-principles (PBE-GGA) data for a geometry-optimized PmPuSi2O8 structure, as listed in Alexandria via LeMat-Bulk.

## Properties
- Energy relative to the elements, uncorrected: -2.88 eV/atom
- Fermi-level density of states: 7.50 states/eV per cell

a b c (Å): 5.874 5.874 5.874
angles (deg): 106.37 106.37 115.88
Atoms (fractional coordinates):
1 Pm 0.000 0.000 0.000
2 Pu 0.250 0.750 0.500
3 Si 0.500 0.500 0.000
4 Si 0.750 0.250 0.500
5 O 0.336 0.151 0.815
6 O 0.336 0.520 0.185
7 O 0.401 0.074 0.327
8 O 0.480 0.664 0.815
9 O 0.747 0.074 0.673
10 O 0.849 0.664 0.185
11 O 0.926 0.253 0.327
12 O 0.926 0.599 0.673